This record from the Alexandria database describes a crystal of CdSi2Tc2 relaxed with PBEsol. The functional is SCAN.

a b c (Å): 3.4437 3.4437 12.7595
angles (deg): 90.00 90.00 90.00
Closest atoms and distances in Å follow each position.
Space group I4/mmm (No. 139)
Inequivalent atoms, fractional coordinates:
Cd 0.0000 0.0000 0.0000  8 Tc 2.83
Si 0.0000 0.5000 0.2500  4 Si 2.44, 4 Tc 2.45
Tc 0.0000 0.0000 0.3864  4 Si 2.45

V (Å³ per atom): 15.1
Spin magnetization (μB/f.u.): 0.788
Uncorrected formation energy (meV/atom): -74